Entry 1:
TcPtO2, optimized geometry, DFT PBE; energy relative to the lowest polymorph listed for this composition = 1262 meV/atom
1.0
1.7233 -3.5713 0.1701
-1.9750 -3.2168 -1.2265
1.0866 -1.8404 -3.3444
O Pt Tc
2 1 1
Direct
0.2500 0.2500 0.2500
0.7500 0.7500 0.7500
0.5000 0.5000 0.5000
0.0000 0.0000 0.0000

=====

Entry 2:
Nb2Co4P, optimized geometry, DFT PBE; formation energy from the elements = 303 meV/atom
1.0
-2.3606 2.1403 -2.3290
-3.0887 -0.9333 2.2730
-1.5787 5.9508 3.7247
Nb P Co
2 1 4
Direct
0.3302 0.3302 0.3397
0.6698 0.6698 0.6603
0.0000 0.0000 0.0000
0.0000 0.5000 0.0000
0.5000 0.0000 0.0000
0.1578 0.1578 0.6845
0.8422 0.8422 0.3155

=====

Entry 3:
HfCd2Cu2, optimized geometry, DFT PBE; formation energy from the elements = 102 meV/atom; energy relative to the lowest polymorph listed for this composition = 0 meV/atom
1.0
7.6991 0.0000 0.0000
0.0000 7.6991 0.0000
0.0000 0.0000 2.9409
Hf Cu Cd
2 4 4
Direct
0.0000 0.0000 0.0000
0.5000 0.5000 0.0000
0.3774 0.8774 0.0000
0.8774 0.6226 0.0000
0.6226 0.1226 0.0000
0.1226 0.3774 0.0000
0.3270 0.1730 0.5000
0.1730 0.6730 0.5000
0.8270 0.3270 0.5000
0.6730 0.8270 0.5000

=====

Entry 4:
Nd4Cd, optimized geometry, DFT PBE; formation energy from the elements = -116 meV/atom; energy relative to the lowest polymorph listed for this composition = 0 meV/atom
1.0
-0.4207 -2.0944 -3.0545
2.7832 -2.2069 1.1298
-8.9009 -4.6527 6.6905
Nd Cd
4 1
Direct
0.8045 0.8045 0.6090
0.1955 0.1955 0.3910
0.5875 0.5875 0.1751
0.4125 0.4125 0.8249
0.0000 0.0000 0.0000

=====

Entry 5:
GdScAl2, optimized geometry, DFT PBE; formation energy from the elements = -156 meV/atom; energy relative to the lowest polymorph listed for this composition = 267 meV/atom
1.0
3.3959 0.0000 0.0000
1.6979 2.9409 0.0000
1.6979 0.9803 9.3187
Al Sc Gd
2 1 1
Direct
0.7456 0.7456 0.7633
0.2544 0.2544 0.2367
0.0000 0.0000 0.0000
0.5000 0.5000 0.5000

=====

Entry 6:
Density functional theory data (PBE) for a relaxed structure of LiTc4Br.

The structure in POSCAR format:
```
LiTc4Br
1.0
0.0000 3.6842 3.6842
3.6842 0.0000 3.6842
3.6842 3.6842 0.0000
Br Tc Li
1 4 1
Direct
0.2500 0.2500 0.2500
0.6241 0.1276 0.6241
0.1276 0.6241 0.6241
0.6241 0.6241 0.1276
0.6241 0.6241 0.6241
0.0000 0.0000 0.0000
```

=====

Entry 7:
LiTcSb, optimized geometry, DFT PBE; energy relative to the lowest polymorph listed for this composition = 161 meV/atom
1.0
-1.9381 -3.8249 -2.2425
-2.0901 -3.5377 2.5555
-0.0943 4.8291 -0.2920
Li Tc Sb
1 1 1
Direct
0.0044 0.0044 0.0000
0.6679 0.6679 0.0000
0.3277 0.3277 0.0000

=====

Entry 8:
AcTb2Sm4Tm, optimized geometry, DFT PBE; formation energy from the elements = 132 meV/atom
1.0
5.9283 0.0000 0.0000
0.0001 5.6978 1.6211
0.0001 3.5581 9.1387
Tb Sm Tm Ac
2 4 1 1
Direct
0.0000 0.0000 0.0000
0.5000 0.0000 0.5000
0.5000 0.2727 0.7275
0.0000 0.2284 0.2717
0.5000 0.7273 0.2725
0.0000 0.7716 0.7283
0.0000 0.5000 0.5000
0.5000 0.5000 0.0000

=====

Raw total energy values (in eV for the cell shown) by entry order: -24.46 -51.85 -38.93 -20.57 -28.52 -40.19 -16.46 -35.66.
Density of states at the Fermi level values (in states/eV per atom) by entry order: 1.224 0.961 0.446 1.327 0.728 0.759 0.824 2.295.